Record 1
First-principles (GGA-PBE) data for a relaxed Nd2MgPaRu2 crystal, as listed in the Alexandria database.

Unit cell a=8.3638 b=8.3638 c=8.3638 alpha=134.98 beta=66.86 gamma=133.32
Atoms (fractional coordinates):
Nd 0.1830 0.2202 0.4032
Nd 0.3170 0.7202 0.0372
Nd 0.6830 0.2798 0.9628
Nd 0.8170 0.7798 0.5968
Mg 0.2500 0.2500 0.0000
Mg 0.7500 0.7500 0.0000
Pa 0.2500 0.7500 0.5000
Pa 0.7500 0.2500 0.5000
Ru 0.1058 0.7068 0.8127
Ru 0.3942 0.2068 0.6010
Ru 0.6058 0.7932 0.3990
Ru 0.8942 0.2932 0.1873

Values from the calculation:
- Spin magnetization: 0.0000 μB per atom
- E_tot: -81.6 eV per cell
- Space group: Ibam
- Calculated formation energy: -0.27 eV/atom



Record 2
First-principles (GGA-PBE) data for a relaxed MgSiW2 crystal, as listed in the Alexandria database.

Unit cell a=2.8548 b=2.8548 c=27.2825 alpha=90.00 beta=90.00 gamma=120.00
Atoms (fractional coordinates):
Mg 0.0000 0.0000 0.0000
Mg 0.3333 0.6667 0.6667
Mg 0.6667 0.3333 0.3333
Si 0.0000 0.0000 0.5000
Si 0.3333 0.6667 0.1667
Si 0.6667 0.3333 0.8333
W 0.0000 0.0000 0.2433
W 0.0000 0.0000 0.7567
W 0.3333 0.6667 0.4233
W 0.3333 0.6667 0.9100
W 0.6667 0.3333 0.0900
W 0.6667 0.3333 0.5767

Values from the calculation:
- Spin magnetization: 0.0000 μB per atom
- E_tot: -94.7 eV per cell
- Space group: R-3m
- Energy relative to the elements, uncorrected: 33 kJ/mol of atoms



Record 3
First-principles (GGA-PBE) data for a relaxed Ca2La2Se crystal, as listed in the Alexandria database.

Unit cell a=7.8146 b=7.8146 c=6.3329 alpha=90.00 beta=90.00 gamma=90.00
Atoms (fractional coordinates):
Ca 0.1601 0.3399 0.0000
Ca 0.3399 0.8399 0.0000
Ca 0.6601 0.1601 0.0000
Ca 0.8399 0.6601 0.0000
La 0.1506 0.6506 0.5000
La 0.3494 0.1506 0.5000
La 0.6506 0.8494 0.5000
La 0.8494 0.3494 0.5000
Se 0.0000 0.0000 0.5000
Se 0.5000 0.5000 0.5000

Values from the calculation:
- Spin magnetization: 0.0000 μB per atom
- E_tot: -39.5 eV per cell
- Space group: P4/mbm
- Energy relative to the elements, uncorrected: -46 kJ/mol of atoms



Record 4
First-principles (GGA-PBE) data for a relaxed Pm2HgI crystal, as listed in the Alexandria database.

Unit cell a=3.9672 b=3.9672 c=27.2884 alpha=90.00 beta=90.00 gamma=120.00
Atoms (fractional coordinates):
Pm 0.0000 0.0000 0.0000
Pm 0.0000 0.0000 0.1725
Pm 0.3333 0.6667 0.6667
Pm 0.3333 0.6667 0.8392
Pm 0.6667 0.3333 0.3333
Pm 0.6667 0.3333 0.5058
Hg 0.0000 0.0000 0.5863
Hg 0.3333 0.6667 0.2529
Hg 0.6667 0.3333 0.9196
I 0.0000 0.0000 0.4194
I 0.3333 0.6667 0.0860
I 0.6667 0.3333 0.7527

Values from the calculation:
- Spin magnetization: 0.0000 μB per atom
- E_tot: -41.7 eV per cell
- Energy above the lowest structure with this stoichiometry: 0 meV per atom
- Space group: R3m
- Energy relative to the elements, uncorrected: -61 kJ/mol of atoms



Record 5
First-principles (GGA-PBE) data for a relaxed Yb2EuS4 crystal, as listed in the Alexandria database.

Unit cell a=7.2956 b=7.2956 c=7.2956 alpha=109.29 beta=109.29 gamma=109.82
Atoms (fractional coordinates):
Yb 0.3750 0.0010 0.1260
Yb 0.7510 0.6250 0.6260
Yb 0.8750 0.2490 0.8740
Yb 0.9990 0.1250 0.3740
Eu 0.2500 0.7500 0.5000
Eu 0.5000 0.5000 0.0000
S 0.1184 0.5144 0.7469
S 0.1215 0.0175 0.7531
S 0.2644 0.3684 0.2469
S 0.4856 0.2325 0.6040
S 0.6285 0.8816 0.3960
S 0.6316 0.8785 0.8960
S 0.7675 0.3715 0.2531
S 0.9825 0.7356 0.1040

Values from the calculation:
- Spin magnetization: 0.9572 μB per atom
- E_tot: -85.1 eV per cell
- Energy above the lowest structure with this stoichiometry: 18 meV per atom
- Space group: I-42d
- Energy relative to the elements, uncorrected: -175 kJ/mol of atoms



Record 6
First-principles (GGA-PBE) data for a relaxed Ac3PtPb2 crystal, as listed in the Alexandria database.

Unit cell a=8.7546 b=8.7546 c=8.3834 alpha=103.84 beta=103.84 gamma=45.40
Atoms (fractional coordinates):
Ac 0.0093 0.9907 0.7500
Ac 0.3567 0.3608 0.4291
Ac 0.3608 0.3567 0.9291
Ac 0.6392 0.6433 0.0709
Ac 0.6433 0.6392 0.5709
Ac 0.9907 0.0093 0.2500
Pt 0.4935 0.5065 0.2500
Pt 0.5065 0.4935 0.7500
Pb 0.1769 0.1813 0.0891
Pb 0.1813 0.1769 0.5891
Pb 0.8187 0.8231 0.4109
Pb 0.8231 0.8187 0.9109

Values from the calculation:
- Spin magnetization: 0.0000 μB per atom
- E_tot: -58.6 eV per cell
- Energy above the lowest structure with this stoichiometry: 117 meV per atom
- Space group: C2/c
- Calculated formation energy: -0.59 eV/atom



Record 7
First-principles (GGA-PBE) data for a relaxed TlI2N2 crystal, as listed in the Alexandria database.

Unit cell a=6.1169 b=6.1169 c=4.6384 alpha=90.00 beta=90.00 gamma=90.00
Atoms (fractional coordinates):
Tl 0.0000 0.0000 0.0000
I 0.0000 0.5000 0.0000
I 0.5000 0.0000 0.0000
N 0.0000 0.0000 0.5000
N 0.5000 0.5000 0.5000

Values from the calculation:
- Spin magnetization: 1.0410 μB per atom
- E_tot: -13.1 eV per cell
- Energy above the lowest structure with this stoichiometry: 1937 meV per atom
- Space group: P4/mmm
- Energy relative to the elements, uncorrected: 173 kJ/mol of atoms



Record 8
First-principles (GGA-PBE) data for a relaxed CaBi2Pd crystal, as listed in the Alexandria database.

Unit cell a=7.4278 b=7.4278 c=7.4278 alpha=90.00 beta=90.00 gamma=90.00
Atoms (fractional coordinates):
Ca 0.0000 0.0000 0.0000
Ca 0.0000 0.5000 0.5000
Ca 0.5000 0.0000 0.5000
Ca 0.5000 0.5000 0.0000
Bi 0.2500 0.2500 0.2500
Bi 0.2500 0.2500 0.7500
Bi 0.2500 0.7500 0.2500
Bi 0.2500 0.7500 0.7500
Bi 0.7500 0.2500 0.2500
Bi 0.7500 0.2500 0.7500
Bi 0.7500 0.7500 0.2500
Bi 0.7500 0.7500 0.7500
Pd 0.0000 0.0000 0.5000
Pd 0.0000 0.5000 0.0000
Pd 0.5000 0.0000 0.0000
Pd 0.5000 0.5000 0.5000

Values from the calculation:
- Spin magnetization: 0.0000 μB per atom
- E_tot: -65.3 eV per cell
- Space group: Fm-3m
- Calculated formation energy: -0.34 eV/atom